Record 1
Below is a geometry-optimized SeN structure, with properties calculated at the PBE level.

Calculated values
Space-group type: P6_3/m
Spin magnetization in μB/cell: 0.00
Raw formation energy in meV/atom: 1068
N(E_F) in states/eV/cell: 5.2
Energy in eV/atom: -4.837

Cell: 11.609 11.609 2.829 Å, 90.00 90.00 120.00°
Fractional positions:
Se 0.068 0.656 0.250
Se 0.344 0.412 0.250
Se 0.412 0.068 0.750
Se 0.588 0.932 0.250
Se 0.656 0.588 0.750
Se 0.932 0.344 0.750
N 0.050 0.410 0.250
N 0.360 0.950 0.250
N 0.410 0.360 0.750
N 0.590 0.640 0.250
N 0.640 0.050 0.750
N 0.950 0.590 0.750

Record 2
Below is a geometry-optimized RbBaTlCl6 structure, with properties calculated at the PBE level.

Calculated values
Space-group type: P-31c
Spin magnetization in μB/cell: 0.00
Raw formation energy in meV/atom: -1578
N(E_F) in states/eV/cell: 0.0
Energy in eV/atom: -3.393

Cell: 7.657 7.657 13.330 Å, 90.00 90.00 120.00°
Fractional positions:
Rb 0.000 0.000 0.000
Rb 0.000 0.000 0.500
Ba 0.333 0.667 0.250
Ba 0.667 0.333 0.750
Tl 0.333 0.667 0.750
Tl 0.667 0.333 0.250
Cl 0.045 0.389 0.636
Cl 0.045 0.656 0.864
Cl 0.344 0.389 0.864
Cl 0.344 0.955 0.636
Cl 0.389 0.045 0.136
Cl 0.389 0.344 0.364
Cl 0.611 0.656 0.636
Cl 0.611 0.955 0.864
Cl 0.656 0.045 0.364
Cl 0.656 0.611 0.136
Cl 0.955 0.344 0.136
Cl 0.955 0.611 0.364

Among the records above, which one has the lowest N(E_F)?
RbBaTlCl6